[1]
# PmFeC, relaxed, DFT GGA-PBE
data_PmFeC
_symmetry_space_group_name_H-M 'P -6 m 2'
_symmetry_Int_Tables_number 187
_symmetry_space_group_name_Hall 'P -6 2'
_cell_length_a 3.3901
_cell_length_b 3.3901
_cell_length_c 4.3466
_cell_angle_alpha 90.00
_cell_angle_beta 90.00
_cell_angle_gamma 120.00
loop_
_atom_site_label
_atom_site_type_symbol
_atom_site_fract_x
_atom_site_fract_y
_atom_site_fract_z
Pm1 Pm 0.0000 0.0000 0.0000
Fe1 Fe 0.6667 0.3333 0.5000
C1 C 0.3333 0.6667 0.5000
# E   -7.40 eV per atom
# ΔE_f   0.0832 eV/atom
# Energy above the most stable polymorph in this dataset   0.82 eV per formula unit

=====

[2]
# Rb2Tl6PbAu, relaxed, DFT GGA-PBE
data_Rb2Tl6PbAu
_symmetry_space_group_name_H-M 'R -3 m'
_symmetry_Int_Tables_number 166
_symmetry_space_group_name_Hall '-R 3 2"'
_cell_length_a 8.5265
_cell_length_b 8.5265
_cell_length_c 37.9946
_cell_angle_alpha 90.00
_cell_angle_beta 90.00
_cell_angle_gamma 120.00
loop_
_atom_site_label
_atom_site_type_symbol
_atom_site_fract_x
_atom_site_fract_y
_atom_site_fract_z
Rb1 Rb 0.0000 0.0000 0.1499
Rb2 Rb 0.0000 0.0000 0.2876
Tl1 Tl 0.0377 0.5189 0.1152
Tl2 Tl 0.0791 0.5396 0.7274
Pb1 Pb 0.0000 0.0000 0.3824
Au1 Au 0.0000 0.0000 0.0000
Au2 Au 0.0000 0.0000 0.5000
# E   -2.33 eV per atom
# ΔE_f   -0.0207 eV/atom

=====

[3]
# ReBr4Cl, relaxed, DFT GGA-PBE
data_ReBr4Cl
_symmetry_space_group_name_H-M 'P 1 21/c 1'
_symmetry_Int_Tables_number 14
_symmetry_space_group_name_Hall '-P 2ybc'
_cell_length_a 4.900
_cell_length_b 6.977
_cell_length_c 13.640
_cell_angle_alpha 90.00
_cell_angle_beta 110.84
_cell_angle_gamma 90.00
loop_
_atom_site_label
_atom_site_type_symbol
_atom_site_fract_x
_atom_site_fract_y
_atom_site_fract_z
Re1 Re 0.000 0.000 0.000
Br1 Br 0.094 0.194 0.595
Br2 Br 0.166 0.674 0.668
Cl1 Cl 0.500 0.000 0.000
# E   -3.68 eV per atom
# Energy relative to the elements, uncorrected   -0.18 eV per atom
# Energy above the most stable polymorph in this dataset   0.00 eV per formula unit

=====

[4]
# Tm2PbI, relaxed, DFT GGA-PBE
data_Tm2PbI
_symmetry_space_group_name_H-M 'R 3 m'
_symmetry_Int_Tables_number 160
_symmetry_space_group_name_Hall 'R 3 -2"'
_cell_length_a 4.3852
_cell_length_b 4.3852
_cell_length_c 22.6423
_cell_angle_alpha 90.00
_cell_angle_beta 90.00
_cell_angle_gamma 120.00
loop_
_atom_site_label
_atom_site_type_symbol
_atom_site_fract_x
_atom_site_fract_y
_atom_site_fract_z
Tm1 Tm 0.0000 0.0000 0.0000
Tm2 Tm 0.0000 0.0000 0.1925
Pb1 Pb 0.0000 0.0000 0.5938
I1 I 0.0000 0.0000 0.7646
# E   -4.03 eV per atom
# Energy relative to the elements, uncorrected   -0.48 eV per atom
# Energy above the most stable polymorph in this dataset   0.16 eV per formula unit

=====

[5]
# Li8IBr6, relaxed, DFT GGA-PBE
data_Li8IBr6
_symmetry_space_group_name_H-M 'R -3'
_symmetry_Int_Tables_number 148
_symmetry_space_group_name_Hall '-R 3'
_cell_length_a 11.5785
_cell_length_b 11.5785
_cell_length_c 11.2933
_cell_angle_alpha 90.00
_cell_angle_beta 90.00
_cell_angle_gamma 120.00
loop_
_atom_site_label
_atom_site_type_symbol
_atom_site_fract_x
_atom_site_fract_y
_atom_site_fract_z
Li1 Li 0.0000 0.0000 0.2350
Li2 Li 0.0141 0.7688 0.4158
I1 I 0.0000 0.0000 0.0000
Br1 Br 0.0168 0.8075 0.6448
# E   -3.05 eV per atom
# Energy relative to the elements, uncorrected   -1.25 eV per atom

=====

[6]
# ThSn4Bi, relaxed, DFT GGA-PBE
data_ThSn4Bi
_symmetry_space_group_name_H-M 'F -4 3 m'
_symmetry_Int_Tables_number 216
_symmetry_space_group_name_Hall 'F -4 2 3'
_cell_length_a 8.771
_cell_length_b 8.771
_cell_length_c 8.771
_cell_angle_alpha 90.00
_cell_angle_beta 90.00
_cell_angle_gamma 90.00
loop_
_atom_site_label
_atom_site_type_symbol
_atom_site_fract_x
_atom_site_fract_y
_atom_site_fract_z
Th1 Th 0.000 0.000 0.000
Sn1 Sn 0.125 0.125 0.625
Bi1 Bi 0.250 0.250 0.250
# E   -4.65 eV per atom
# ΔE_f   -0.1014 eV/atom